1.
A geometry-optimized Ga3TcSe structure. Source: Alexandria via LeMat-Bulk, functional PBE-GGA.

a b c (Å): 4.880 4.880 4.880
angles (deg): 90.00 90.00 90.00
Each line ends with the local moment (μB).
Sites, in units of the cell vectors:
Ga1 0.000 0.500 0.000  -0.01
Ga2 0.500 0.000 0.000  -0.01
Ga3 0.000 0.000 0.500  -0.01
Tc1 0.000 0.000 0.000  0.81
Se1 0.500 0.500 0.500  0.34

Values from the calculation:
Uncorrected formation energy, eV/atom: 0.35
Distance to the lowest polymorph of the same formula, eV/f.u.: 0.000
Total energy, eV/atom: -4.241

---

2.
A geometry-optimized RbAgICl6 structure. Source: Alexandria via LeMat-Bulk, functional PBE-GGA.

a b c (Å): 9.573 7.447 6.572
angles (deg): 80.71 75.47 50.03
Each line ends with the local moment (μB).
Sites, in units of the cell vectors:
Rb1 0.978 0.043 0.000  0.00
Ag1 0.673 0.654 0.500  0.34
I1 0.331 0.337 0.500  0.01
Cl1 0.970 0.368 0.287  0.19
Cl2 0.368 0.986 0.723  0.07
Cl3 0.662 0.368 0.713  0.19
Cl4 0.033 0.629 0.727  0.01
Cl5 0.339 0.629 0.273  0.01
Cl6 0.646 0.986 0.277  0.07

Values from the calculation:
Uncorrected formation energy, eV/atom: -0.62
Total energy, eV/atom: -2.446